# UCrTc2P2

UCrTc2P2 after structural relaxation (GGA-PBE, Alexandria).

Lattice parameters (Å, degrees): 3.9692 7.5536 5.9151 90.00 90.00 90.00
With the nearest neighbours (Å) after each atom.
Fractional positions:
U 0.0000 0.0741 0.0000  5 P 2.69-2.86, 2 Cr 2.76, 1 Tc 2.91
U 0.0000 0.9259 0.5000  5 P 2.69-2.86, 2 Cr 2.76, 1 Tc 2.91
Cr 0.5000 0.2016 0.7209  3 P 2.42-2.56
Cr 0.5000 0.7984 0.2209  3 P 2.42-2.56
Tc 0.0000 0.3076 0.4386  4 P 2.31-2.40
Tc 0.0000 0.6924 0.9386  4 P 2.31-2.40
Tc 0.5000 0.4371 0.1013  5 P 2.47-2.66
Tc 0.5000 0.5629 0.6013  5 P 2.47-2.66
P 0.0000 0.4008 0.8183  2 Tc 2.31-2.35, 2 Cr 2.56
P 0.0000 0.5992 0.3183  2 Tc 2.31-2.35, 2 Cr 2.56
P 0.5000 0.1562 0.3156  3 Tc 2.40-2.47, 1 Cr 2.42
P 0.5000 0.8438 0.8156  3 Tc 2.40-2.47, 1 Cr 2.42

Results
- Calculated formation energy: -0.45 eV per atom

***

# MnTeOs

MnTeOs after structural relaxation (GGA-PBE, Alexandria).

Lattice parameters (Å, degrees): 4.8077 4.8077 4.8077 141.25 132.40 62.99
With the nearest neighbours (Å) after each atom.
Fractional positions:
Mn 0.0000 0.0000 0.0000  5 Te 2.61-2.92, 5 Os 2.79-2.88
Te 0.3184 0.3184 0.0000  5 Mn 2.61-2.92, 5 Os 2.71-2.87
Os 0.6484 0.6484 0.0000  5 Te 2.71-2.87, 5 Mn 2.79-2.88

Results
- Polymorph energy (0 for the lowest one): 0.3520 eV/atom
- Formation energy from raw total energies: 0.592 eV per atom

***

# SiB2As

SiB2As after structural relaxation (GGA-PBE, Alexandria).

Lattice parameters (Å, degrees): 4.0153 4.0153 4.0153 60.00 60.00 60.00
With the nearest neighbours (Å) after each atom.
Fractional positions:
Si 0.0000 0.0000 0.0000  8 B 2.46
B 0.2500 0.2500 0.2500  4 As 2.46, 4 Si 2.46
B 0.7500 0.7500 0.7500  4 Si 2.46, 4 As 2.46
As 0.5000 0.5000 0.5000  8 B 2.46

Results
- Polymorph energy (0 for the lowest one): 1.2412 eV/atom
- Formation energy from raw total energies: 1.422 eV per atom

***

# CsRb2Br

CsRb2Br after structural relaxation (GGA-PBE, Alexandria).

Lattice parameters (Å, degrees): 13.9337 13.9337 13.9337 20.72 20.72 20.72
With the nearest neighbours (Å) after each atom.
Fractional positions:
Cs 0.0000 0.0000 0.0000  2 Rb 4.78, 6 Cs 5.01
Rb 0.1170 0.1170 0.1170  3 Br 3.54
Rb 0.8830 0.8830 0.8830  3 Br 3.54
Br 0.5000 0.5000 0.5000  6 Rb 3.54

Results
- Polymorph energy (0 for the lowest one): 0.0199 eV/atom
- Formation energy from raw total energies: -0.796 eV per atom

***

# ZrZnCo2

ZrZnCo2 after structural relaxation (GGA-PBE, Alexandria).

Lattice parameters (Å, degrees): 5.4242 5.4242 5.4242 104.91 104.91 119.04
With the nearest neighbours (Å) after each atom.
Fractional positions:
Zr 0.0000 0.0000 0.0000  4 Co 2.51, 2 Zn 2.75
Zr 0.7500 0.2500 0.5000  4 Co 2.51, 2 Zn 2.75
Zn 0.2500 0.7500 0.5000  4 Co 2.37
Zn 0.5000 0.5000 0.0000  4 Co 2.37
Co 0.1409 0.6250 0.0159  2 Zn 2.37, 2 Zr 2.51
Co 0.3750 0.3909 0.5159  2 Zn 2.37, 2 Zr 2.51
Co 0.6091 0.1250 0.9841  2 Zn 2.37, 2 Zr 2.51
Co 0.8750 0.8591 0.4841  2 Zn 2.37, 2 Zr 2.51

Results
- Calculated formation energy: 0.24 eV per atom

***

# CuPO

CuPO after structural relaxation (GGA-PBE, Alexandria).

Lattice parameters (Å, degrees): 3.3001 3.3098 4.8944 97.49 108.08 110.18
With the nearest neighbours (Å) after each atom.
Fractional positions:
Cu 0.0000 0.0000 0.0000  1 O 1.92
P 0.4927 0.2775 0.7681  1 O 1.53
O 0.2882 0.1428 0.4272  1 P 1.53

Results
- Polymorph energy (0 for the lowest one): 0.0000 eV/atom
- Formation energy from raw total energies: -0.652 eV per atom

***

# LiY2Tl3

LiY2Tl3 after structural relaxation (GGA-PBE, Alexandria).

Lattice parameters (Å, degrees): 9.8949 9.2813 6.1234 76.92 66.01 37.07
With the nearest neighbours (Å) after each atom.
Fractional positions:
Li 0.1688 0.1688 0.8312  3 Tl 2.68-2.71
Li 0.8312 0.8312 0.1688  3 Tl 2.68-2.71
Y 0.2500 0.2500 0.2500  8 Tl 3.30-3.32, 4 Li 3.36, 2 Y 3.59
Y 0.2549 0.7451 0.7451  10 Tl 3.33-3.51, 2 Li 3.42, 2 Y 3.52-3.66
Y 0.7451 0.2549 0.2549  10 Tl 3.33-3.51, 2 Li 3.42, 2 Y 3.52-3.66
Y 0.7500 0.7500 0.7500  8 Tl 3.30-3.32, 4 Li 3.36, 2 Y 3.59
Tl 0.1463 0.6768 0.3232  1 Li 2.71, 2 Tl 3.02-3.03
Tl 0.3232 0.8537 0.1463  1 Li 2.71, 2 Tl 3.02-3.03
Tl 0.3254 0.3254 0.6746  1 Li 2.68
Tl 0.6746 0.6746 0.3254  1 Li 2.68
Tl 0.6768 0.1463 0.8537  1 Li 2.71, 2 Tl 3.02-3.03
Tl 0.8537 0.3232 0.6768  1 Li 2.71, 2 Tl 3.02-3.03

Results
- Polymorph energy (0 for the lowest one): 0.0440 eV/atom
- Calculated formation energy: -0.29 eV per atom

***

# CePmMn4

CePmMn4 after structural relaxation (GGA-PBE, Alexandria).

Lattice parameters (Å, degrees): 5.2026 5.2026 5.2026 60.00 60.00 60.00
With the nearest neighbours (Å) after each atom.
Fractional positions:
Ce 0.0000 0.0000 0.0000  12 Mn 3.05, 4 Pm 3.19
Pm 0.7500 0.7500 0.7500  12 Mn 3.05, 4 Ce 3.19
Mn 0.3742 0.3742 0.3742  6 Mn 2.59-2.62
Mn 0.3742 0.3742 0.8773  6 Mn 2.59-2.62
Mn 0.3742 0.8773 0.3742  6 Mn 2.59-2.62
Mn 0.8773 0.3742 0.3742  6 Mn 2.59-2.62

Results
- Calculated formation energy: 0.17 eV per atom

***

# KGa2SnHg

KGa2SnHg after structural relaxation (GGA-PBE, Alexandria).

Lattice parameters (Å, degrees): 6.7153 6.7153 6.7153 137.93 137.67 61.21
With the nearest neighbours (Å) after each atom.
Fractional positions:
K 0.0000 0.0000 0.0000  4 Hg 3.66-3.88, 4 Sn 3.68, 8 Ga 3.69-3.85
Ga 0.3779 0.3779 0.0000  2 Hg 2.75, 1 Sn 2.77, 2 Ga 2.79
Ga 0.7585 0.2585 0.5000  2 Ga 2.79, 2 Sn 2.91
Sn 0.6172 0.6172 0.0000  3 Ga 2.77-2.91, 2 Hg 2.95
Hg 0.2631 0.7631 0.5000  2 Ga 2.75, 2 Sn 2.95

Results
- Calculated formation energy: -0.14 eV per atom

***

# Cs2GeMoBr6

Cs2GeMoBr6 after structural relaxation (GGA-PBE, Alexandria).

Lattice parameters (Å, degrees): 7.8690 7.8690 7.8690 120.08 120.08 89.86
With the nearest neighbours (Å) after each atom.
Fractional positions:
Cs 0.2500 0.7500 0.5000  12 Br 3.93-3.94
Cs 0.7500 0.2500 0.5000  12 Br 3.93-3.94
Ge 0.0000 0.0000 0.0000  6 Br 2.86
Mo 0.5000 0.5000 0.0000  6 Br 2.70-2.71
Br 0.2568 0.2568 0.0000  1 Mo 2.71, 1 Ge 2.86
Br 0.2573 0.2573 0.5146  1 Mo 2.70, 1 Ge 2.86
Br 0.2573 0.7427 0.0000  1 Mo 2.70, 1 Ge 2.86
Br 0.7427 0.2573 0.0000  1 Mo 2.70, 1 Ge 2.86
Br 0.7432 0.7432 0.0000  1 Mo 2.71, 1 Ge 2.86
Br 0.7427 0.7427 0.4854  1 Mo 2.70, 1 Ge 2.86

Results
- Formation energy from raw total energies: -0.916 eV per atom

***

# Er2TmScBi4

Er2TmScBi4 after structural relaxation (GGA-PBE, Alexandria).

Lattice parameters (Å, degrees): 7.6219 4.4038 7.6226 90.00 109.46 90.00
With the nearest neighbours (Å) after each atom.
Fractional positions:
Er 0.0000 0.0000 0.0000  6 Bi 3.12
Er 0.0000 0.5000 0.5000  6 Bi 3.16
Tm 0.5000 0.0000 0.5000  6 Bi 3.11
Sc 0.5000 0.5000 0.0000  6 Bi 3.06
Bi 0.2548 0.5000 0.2466  1 Sc 3.06, 2 Tm 3.11, 3 Er 3.12-3.16
Bi 0.2585 0.0000 0.7577  2 Sc 3.06, 1 Tm 3.11, 3 Er 3.12-3.16
Bi 0.7415 0.0000 0.2423  2 Sc 3.06, 1 Tm 3.11, 3 Er 3.12-3.16
Bi 0.7452 0.5000 0.7534  1 Sc 3.06, 2 Tm 3.11, 3 Er 3.12-3.16

Results
- Calculated formation energy: -0.76 eV per atom

***

# NpAgCl6

NpAgCl6 after structural relaxation (GGA-PBE, Alexandria).

Lattice parameters (Å, degrees): 7.1904 7.1904 7.1904 55.53 55.53 55.53
With the nearest neighbours (Å) after each atom.
Fractional positions:
Np 0.0000 0.0000 0.0000  6 Cl 2.54
Ag 0.5000 0.5000 0.5000  6 Cl 2.74
Cl 0.0952 0.7646 0.3819  1 Np 2.54, 1 Ag 2.74
Cl 0.2354 0.6181 0.9048  1 Np 2.54, 1 Ag 2.74
Cl 0.3819 0.0952 0.7646  1 Np 2.54, 1 Ag 2.74
Cl 0.6181 0.9048 0.2354  1 Np 2.54, 1 Ag 2.74
Cl 0.7646 0.3819 0.0952  1 Np 2.54, 1 Ag 2.74
Cl 0.9048 0.2354 0.6181  1 Np 2.54, 1 Ag 2.74

Results
- Formation energy from raw total energies: -1.209 eV per atom

***

no.,magnetization (μB/f.u.),calculated density (kg/m³)
1,0.1,10262
2,3.7,12198
3,0.0,4521
4,0.0,2149
5,0.0,7581
6,0.0,3991
7,0.0,8695
8,7.2,8420
9,0.0,6119
10,4.0,4410
11,0.0,9529
12,2.0,3930